<P>
Below is a relaxed structure of VTcI, with properties calculated at the PBE-GGA level.

The space group is No. 1.

abc: 3.3249 6.7826 6.7939
angles: 113.15 99.12 98.84
Atoms (fractional coordinates):
Tc1 0.4885 0.3499 0.4532
V1 0.9898 0.2039 0.5905
Tc2 0.1059 0.6648 0.7683
I1 0.2965 0.1251 0.9933
I2 0.8017 0.7521 0.3651
V2 0.6064 0.5265 0.9134

---

<Q>
Below is a relaxed structure of VTcI, with properties calculated at the PBE-GGA level.

The space group is No. 8.

abc: 6.2418 3.3080 5.7194
angles: 90.00 90.07 90.00
Atoms (fractional coordinates):
V1 0.3149 0.5000 0.8748
I1 0.6638 0.0000 0.7075
V2 0.3149 0.0000 0.3748
Tc1 0.0774 0.0000 0.0371
I2 0.6638 0.5000 0.2075
Tc2 0.0774 0.5000 0.5371

---

<R>
Below is a relaxed structure of VTcI, with properties calculated at the PBE-GGA level.

The space group is No. 6.

abc: 3.8143 4.1634 9.5545
angles: 90.00 101.28 90.00
Atoms (fractional coordinates):
Tc1 0.7814 0.0000 0.1770
Tc2 0.3121 0.5000 0.1423
V1 0.4386 0.0000 0.3448
I1 0.5511 0.5000 0.5516
V2 0.9840 0.5000 0.3147
I2 0.2216 0.0000 0.9311

---

<S>
Below is a relaxed structure of VTcI, with properties calculated at the PBE-GGA level.

The space group is No. 160.

abc: 3.3156 3.3156 19.2843
angles: 90.00 90.00 120.00
Atoms (fractional coordinates):
I1 0.0000 0.0000 0.2153
I2 0.3333 0.6667 0.8820
Tc1 0.6667 0.3333 0.6963
V1 0.6667 0.3333 0.1071
I3 0.6667 0.3333 0.5487
V2 0.0000 0.0000 0.7738
Tc2 0.3333 0.6667 0.0296
Tc3 0.0000 0.0000 0.3630
V3 0.3333 0.6667 0.4404

---

Which one sits at the top of the stability order? <R> does.